No. 1
Sb2WCl PBE-GGA relaxed; energy relative to the lowest polymorph listed for this composition = 1.664 eV per formula unit
1.0
7.6817 0.3010 0.0080
5.4153 5.4565 -0.0080
-6.0453 -4.0233 2.5231
W Sb Cl
1 2 1
Direct
0.7500 0.2500 0.5000 W
0.5819 0.5819 0.0000 Sb
0.9181 0.9181 0.0000 Sb
0.2500 0.7500 0.5000 Cl

No. 2
Here is an optimized crystal structure of SrB2PbI from Alexandria via LeMat-Bulk. Energies are from PBE-GGA.

```
SrB2PbI
1.0
-4.0679 -2.6266 1.8306
3.7084 -3.0237 3.9020
-0.7635 3.6704 3.5698
B Sr I Pb
2 1 1 1
Direct
0.5000 0.0000 0.0000 B
0.0000 0.0000 0.5000 B
0.0000 0.0000 0.0000 Sr
0.0000 0.5000 0.0000 I
0.5000 0.5000 0.5000 Pb
```

Sequential raw total energy output: -20.7 -12.2 eV/f.u.
Sequential energy relative to the elements, uncorrected output: 2.34 8.12 eV/f.u.